This record from Alexandria via LeMat-Bulk describes a PBEsol-optimized structure of RbGeTe2. The functional is SCAN.

Results
* space-group type: I-42d, No. 122
* E_form (uncorrected): -0.453 eV/atom
* E_tot: -29.036 eV/atom

Cell: 8.287 8.287 9.028 Å, 90.00 90.00 90.00°
Sites, in units of the cell vectors:
Rb (0.000, 0.000, 0.000)
Rb (0.000, 0.500, 0.250)
Rb (0.500, 0.000, 0.750)
Rb (0.500, 0.500, 0.500)
Ge (0.000, 0.000, 0.500)
Ge (0.000, 0.500, 0.750)
Ge (0.500, 0.000, 0.250)
Ge (0.500, 0.500, 0.000)
Te (0.160, 0.250, 0.625)
Te (0.250, 0.660, 0.875)
Te (0.250, 0.840, 0.375)
Te (0.340, 0.250, 0.125)
Te (0.660, 0.750, 0.125)
Te (0.750, 0.160, 0.375)
Te (0.750, 0.340, 0.875)
Te (0.840, 0.750, 0.625)

***

This record from Alexandria via LeMat-Bulk describes a PBEsol-optimized structure of Co2Si2Ni. The functional is SCAN.

Results
* space-group type: P4/mbm, No. 127
* E_form (uncorrected): -0.386 eV/atom
* E_tot: -14.549 eV/atom

Cell: 6.455 6.455 2.578 Å, 90.00 90.00 90.00°
Sites, in units of the cell vectors:
Co (0.144, 0.356, 0.000)
Co (0.356, 0.856, 0.000)
Co (0.644, 0.144, 0.000)
Co (0.856, 0.644, 0.000)
Si (0.153, 0.653, 0.500)
Si (0.347, 0.153, 0.500)
Si (0.653, 0.847, 0.500)
Si (0.847, 0.347, 0.500)
Ni (0.000, 0.000, 0.500)
Ni (0.500, 0.500, 0.500)

***

This record from Alexandria via LeMat-Bulk describes a PBEsol-optimized structure of CdAgHgAu2. The functional is SCAN.

Results
* space-group type: P4/mmm, No. 123
* DFT formation energy: 0.64 eV per atom
* E_tot: -53.017 eV/atom

Cell: 5.107 5.107 5.092 Å, 90.00 90.00 90.00°
Sites, in units of the cell vectors:
Cd (0.000, 0.000, 0.000)
Ag (0.500, 0.500, 0.000)
Hg (0.500, 0.500, 0.500)
Au (0.000, 0.500, 0.500)
Au (0.500, 0.000, 0.500)

***

This record from Alexandria via LeMat-Bulk describes a PBEsol-optimized structure of TaInMo2S. The functional is SCAN.

Results
* space-group type: P4/mmm, No. 123
* E_form (uncorrected): 1.314 eV/atom
* E_tot: -34.560 eV/atom

Cell: 4.877 4.877 4.509 Å, 90.00 90.00 90.00°
Sites, in units of the cell vectors:
Ta (0.000, 0.000, 0.000)
In (0.500, 0.500, 0.500)
Mo (0.000, 0.500, 0.000)
Mo (0.500, 0.000, 0.000)
S (0.000, 0.000, 0.500)

***

This record from Alexandria via LeMat-Bulk describes a PBEsol-optimized structure of Mn2FeBr. The functional is SCAN.

Results
* space-group type: P4mm, No. 99
* E_form (uncorrected): 0.243 eV/atom
* E_tot: -18.282 eV/atom
* energy relative to the lowest polymorph listed for this composition: 0.0 meV/atom

Cell: 3.031 3.031 6.102 Å, 90.00 90.00 90.00°
Sites, in units of the cell vectors:
Mn (0.000, 0.000, 0.000)
Mn (0.500, 0.500, 0.195)
Fe (0.500, 0.500, 0.771)
Br (0.000, 0.000, 0.512)

***

This record from Alexandria via LeMat-Bulk describes a PBEsol-optimized structure of YMoRh. The functional is SCAN.

Results
* space-group type: I4mm, No. 107
* DFT formation energy: -0.07 eV per atom
* E_tot: -32.238 eV/atom

Cell: 3.080 3.080 11.662 Å, 90.00 90.00 90.00°
Sites, in units of the cell vectors:
Y (0.000, 0.000, 0.000)
Y (0.500, 0.500, 0.500)
Mo (0.000, 0.000, 0.306)
Mo (0.500, 0.500, 0.806)
Rh (0.000, 0.000, 0.690)
Rh (0.500, 0.500, 0.190)

***

This record from Alexandria via LeMat-Bulk describes a PBEsol-optimized structure of Al3PtN. The functional is SCAN.

Results
* space-group type: Pm-3m, No. 221
* E_form (uncorrected): -0.786 eV/atom
* E_tot: -21.334 eV/atom

Cell: 3.940 3.940 3.940 Å, 90.00 90.00 90.00°
Sites, in units of the cell vectors:
Al (0.000, 0.000, 0.500)
Al (0.000, 0.500, 0.000)
Al (0.500, 0.000, 0.000)
Pt (0.500, 0.500, 0.500)
N (0.000, 0.000, 0.000)

***

This record from Alexandria via LeMat-Bulk describes a PBEsol-optimized structure of LaAgPb. The functional is SCAN.

Results
* space-group type: P6_3mc, No. 186
* DFT formation energy: -0.71 eV per atom
* E_tot: -50.790 eV/atom

Cell: 4.855 4.855 7.724 Å, 90.00 90.00 120.00°
Sites, in units of the cell vectors:
La (0.000, 0.000, 0.000)
La (0.000, 0.000, 0.500)
Ag (0.333, 0.667, 0.196)
Ag (0.667, 0.333, 0.696)
Pb (0.333, 0.667, 0.782)
Pb (0.667, 0.333, 0.282)

***

This record from Alexandria via LeMat-Bulk describes a PBEsol-optimized structure of HOsPt2. The functional is SCAN.

Results
* space-group type: Fm-3m, No. 225
* E_tot: -53.029 eV/atom

Cell: 5.963 5.963 5.963 Å, 90.00 90.00 90.00°
Sites, in units of the cell vectors:
H (0.000, 0.000, 0.000)
H (0.000, 0.500, 0.500)
H (0.500, 0.000, 0.500)
H (0.500, 0.500, 0.000)
Os (0.000, 0.000, 0.500)
Os (0.000, 0.500, 0.000)
Os (0.500, 0.000, 0.000)
Os (0.500, 0.500, 0.500)
Pt (0.250, 0.250, 0.250)
Pt (0.250, 0.250, 0.750)
Pt (0.250, 0.750, 0.250)
Pt (0.250, 0.750, 0.750)
Pt (0.750, 0.250, 0.250)
Pt (0.750, 0.250, 0.750)
Pt (0.750, 0.750, 0.250)
Pt (0.750, 0.750, 0.750)

***

This record from Alexandria via LeMat-Bulk describes a PBEsol-optimized structure of DyCuW2O8. The functional is SCAN.

Results
* space-group type: P-1, No. 2
* E_form (uncorrected): -2.414 eV/atom
* E_tot: -23.432 eV/atom

Cell: 4.998 5.996 6.007 Å, 109.38 91.74 113.57°
Sites, in units of the cell vectors:
Dy (0.000, 0.000, 0.000)
Cu (0.500, 0.000, 0.500)
W (0.245, 0.482, 0.671)
W (0.755, 0.518, 0.329)
O (0.003, 0.250, 0.785)
O (0.031, 0.694, 0.670)
O (0.461, 0.296, 0.524)
O (0.489, 0.264, 0.068)
O (0.511, 0.736, 0.932)
O (0.539, 0.704, 0.476)
O (0.969, 0.306, 0.330)
O (0.997, 0.750, 0.215)

***

This record from Alexandria via LeMat-Bulk describes a PBEsol-optimized structure of TaHgTe2. The functional is SCAN.

Results
* space-group type: C2/m, No. 12
* E_form (uncorrected): 0.571 eV/atom
* E_tot: -51.742 eV/atom

Cell: 6.400 7.839 3.543 Å, 90.00 90.13 90.00°
Sites, in units of the cell vectors:
Ta (0.000, 0.000, 0.000)
Ta (0.500, 0.500, 0.000)
Hg (0.000, 0.500, 0.000)
Hg (0.500, 0.000, 0.000)
Te (0.250, 0.250, 0.500)
Te (0.250, 0.750, 0.500)
Te (0.750, 0.250, 0.500)
Te (0.750, 0.750, 0.500)

***

This record from Alexandria via LeMat-Bulk describes a PBEsol-optimized structure of Re2Ir. The functional is SCAN.

Results
* space-group type: Cm, No. 8
* DFT formation energy: -0.24 eV per atom
* E_tot: -71.336 eV/atom
* energy relative to the lowest polymorph listed for this composition: 11.7 meV/atom

Cell: 9.958 2.738 6.479 Å, 90.00 103.81 90.00°
Sites, in units of the cell vectors:
Re (0.000, 0.000, 0.000)
Re (0.058, 0.000, 0.613)
Re (0.224, 0.500, 0.947)
Re (0.388, 0.000, 0.281)
Re (0.500, 0.500, 0.000)
Re (0.558, 0.500, 0.613)
Re (0.724, 0.000, 0.947)
Re (0.888, 0.500, 0.281)
Ir (0.166, 0.500, 0.332)
Ir (0.335, 0.000, 0.673)
Ir (0.666, 0.000, 0.332)
Ir (0.835, 0.500, 0.673)

***

This record from Alexandria via LeMat-Bulk describes a PBEsol-optimized structure of TlCdPt2. The functional is SCAN.

Results
* space-group type: P2/m, No. 10
* DFT formation energy: -0.07 eV per atom
* E_tot: -60.862 eV/atom

Cell: 2.973 3.974 5.927 Å, 90.00 90.17 90.00°
Sites, in units of the cell vectors:
Tl (0.000, 0.000, 0.000)
Cd (0.000, 0.000, 0.500)
Pt (0.499, 0.500, 0.256)
Pt (0.501, 0.500, 0.744)

***

This record from Alexandria via LeMat-Bulk describes a PBEsol-optimized structure of Cd3FeB. The functional is SCAN.

Results
* space-group type: Pm-3m, No. 221
* DFT formation energy: 1.42 eV per atom
* E_tot: -21.944 eV/atom

Cell: 4.889 4.889 4.889 Å, 90.00 90.00 90.00°
Sites, in units of the cell vectors:
Cd (0.000, 0.000, 0.500)
Cd (0.000, 0.500, 0.000)
Cd (0.500, 0.000, 0.000)
Fe (0.000, 0.000, 0.000)
B (0.500, 0.500, 0.500)

***

This record from Alexandria via LeMat-Bulk describes a PBEsol-optimized structure of CaIn2Sb. The functional is SCAN.

Results
* space-group type: R-3m, No. 166
* E_form (uncorrected): -0.202 eV/atom
* E_tot: -28.626 eV/atom

Cell: 4.234 4.234 23.373 Å, 90.00 90.00 120.00°
Sites, in units of the cell vectors:
Ca (0.000, 0.000, 0.000)
Ca (0.333, 0.667, 0.667)
Ca (0.667, 0.333, 0.333)
In (0.000, 0.000, 0.239)
In (0.000, 0.000, 0.761)
In (0.333, 0.667, 0.427)
In (0.333, 0.667, 0.906)
In (0.667, 0.333, 0.094)
In (0.667, 0.333, 0.573)
Sb (0.000, 0.000, 0.500)
Sb (0.333, 0.667, 0.167)
Sb (0.667, 0.333, 0.833)

***

This record from Alexandria via LeMat-Bulk describes a PBEsol-optimized structure of ScTc2Ge2. The functional is SCAN.

Results
* space-group type: P4/mbm, No. 127
* DFT formation energy: -0.42 eV per atom
* E_tot: -24.923 eV/atom

Cell: 7.076 7.076 3.045 Å, 90.00 90.00 90.00°
Sites, in units of the cell vectors:
Sc (0.000, 0.000, 0.000)
Sc (0.500, 0.500, 0.000)
Tc (0.151, 0.349, 0.500)
Tc (0.349, 0.849, 0.500)
Tc (0.651, 0.151, 0.500)
Tc (0.849, 0.651, 0.500)
Ge (0.143, 0.643, 0.000)
Ge (0.357, 0.143, 0.000)
Ge (0.643, 0.857, 0.000)
Ge (0.857, 0.357, 0.000)

***

This record from Alexandria via LeMat-Bulk describes a PBEsol-optimized structure of NaScRe2. The functional is SCAN.

Results
* space-group type: Fm-3m, No. 225
* DFT formation energy: 1.26 eV per atom
* E_tot: -38.906 eV/atom

Cell: 6.411 6.411 6.411 Å, 90.00 90.00 90.00°
Sites, in units of the cell vectors:
Na (0.000, 0.000, 0.000)
Na (0.000, 0.500, 0.500)
Na (0.500, 0.000, 0.500)
Na (0.500, 0.500, 0.000)
Sc (0.000, 0.000, 0.500)
Sc (0.000, 0.500, 0.000)
Sc (0.500, 0.000, 0.000)
Sc (0.500, 0.500, 0.500)
Re (0.250, 0.250, 0.250)
Re (0.250, 0.250, 0.750)
Re (0.250, 0.750, 0.250)
Re (0.250, 0.750, 0.750)
Re (0.750, 0.250, 0.250)
Re (0.750, 0.250, 0.750)
Re (0.750, 0.750, 0.250)
Re (0.750, 0.750, 0.750)

***

This record from Alexandria via LeMat-Bulk describes a PBEsol-optimized structure of ScMn2Te. The functional is SCAN.

Results
* space-group type: F-43m, No. 216
* E_form (uncorrected): -0.004 eV/atom
* E_tot: -22.004 eV/atom

Cell: 6.323 6.323 6.323 Å, 90.00 90.00 90.00°
Sites, in units of the cell vectors:
Sc (0.000, 0.000, 0.000)
Sc (0.000, 0.500, 0.500)
Sc (0.500, 0.000, 0.500)
Sc (0.500, 0.500, 0.000)
Mn (0.000, 0.000, 0.500)
Mn (0.000, 0.500, 0.000)
Mn (0.250, 0.250, 0.250)
Mn (0.250, 0.750, 0.750)
Mn (0.500, 0.000, 0.000)
Mn (0.500, 0.500, 0.500)
Mn (0.750, 0.250, 0.750)
Mn (0.750, 0.750, 0.250)
Te (0.250, 0.250, 0.750)
Te (0.250, 0.750, 0.250)
Te (0.750, 0.250, 0.250)
Te (0.750, 0.750, 0.750)

***

This record from Alexandria via LeMat-Bulk describes a PBEsol-optimized structure of MgSb2TeBr. The functional is SCAN.

Results
* space-group type: P4/mmm, No. 123
* E_form (uncorrected): 0.535 eV/atom
* E_tot: -26.706 eV/atom

Cell: 5.690 5.690 5.469 Å, 90.00 90.00 90.00°
Sites, in units of the cell vectors:
Mg (0.000, 0.000, 0.000)
Sb (0.000, 0.500, 0.500)
Sb (0.500, 0.000, 0.500)
Te (0.500, 0.500, 0.500)
Br (0.500, 0.500, 0.000)

***

This record from Alexandria via LeMat-Bulk describes a PBEsol-optimized structure of TaBe2NbGa. The functional is SCAN.

Results
* space-group type: P4/mmm, No. 123
* DFT formation energy: 1.33 eV per atom
* E_tot: -23.622 eV/atom
* energy relative to the lowest polymorph listed for this composition: 513.2 meV/atom

Cell: 4.207 4.207 4.654 Å, 90.00 90.00 90.00°
Sites, in units of the cell vectors:
Ta (0.000, 0.000, 0.000)
Be (0.000, 0.500, 0.500)
Be (0.500, 0.000, 0.500)
Nb (0.500, 0.500, 0.500)
Ga (0.500, 0.500, 0.000)

***

This record from Alexandria via LeMat-Bulk describes a PBEsol-optimized structure of Al2CdBr. The functional is SCAN.

Results
* space-group type: I-4m2, No. 119
* E_form (uncorrected): 0.300 eV/atom
* E_tot: -16.045 eV/atom

Cell: 4.184 4.184 10.281 Å, 90.00 90.00 90.00°
Sites, in units of the cell vectors:
Al (0.000, 0.000, 0.000)
Al (0.000, 0.500, 0.250)
Al (0.500, 0.000, 0.750)
Al (0.500, 0.500, 0.500)
Cd (0.000, 0.500, 0.750)
Cd (0.500, 0.000, 0.250)
Br (0.000, 0.000, 0.500)
Br (0.500, 0.500, 0.000)

***

This record from Alexandria via LeMat-Bulk describes a PBEsol-optimized structure of AlGeSb2. The functional is SCAN.

Results
* space-group type: I-42d, No. 122
* E_form (uncorrected): 0.099 eV/atom
* E_tot: -25.241 eV/atom
* energy relative to the lowest polymorph listed for this composition: 0.0 meV/atom

Cell: 6.211 6.211 12.614 Å, 90.00 90.00 90.00°
Sites, in units of the cell vectors:
Al (0.000, 0.000, 0.000)
Al (0.000, 0.500, 0.250)
Al (0.500, 0.000, 0.750)
Al (0.500, 0.500, 0.500)
Ge (0.000, 0.000, 0.500)
Ge (0.000, 0.500, 0.750)
Ge (0.500, 0.000, 0.250)
Ge (0.500, 0.500, 0.000)
Sb (0.241, 0.250, 0.125)
Sb (0.250, 0.741, 0.375)
Sb (0.250, 0.759, 0.875)
Sb (0.259, 0.250, 0.625)
Sb (0.741, 0.750, 0.625)
Sb (0.750, 0.241, 0.875)
Sb (0.750, 0.259, 0.375)
Sb (0.759, 0.750, 0.125)

***

This record from Alexandria via LeMat-Bulk describes a PBEsol-optimized structure of La3Sc. The functional is SCAN.

Results
* space-group type: I4/mmm, No. 139
* DFT formation energy: 0.03 eV per atom
* E_tot: -35.854 eV/atom

Cell: 4.971 4.971 20.086 Å, 90.00 90.00 90.00°
Sites, in units of the cell vectors:
La (0.000, 0.000, 0.127)
La (0.000, 0.000, 0.873)
La (0.000, 0.500, 0.000)
La (0.000, 0.500, 0.250)
La (0.000, 0.500, 0.500)
La (0.000, 0.500, 0.750)
La (0.500, 0.000, 0.000)
La (0.500, 0.000, 0.250)
La (0.500, 0.000, 0.500)
La (0.500, 0.000, 0.750)
La (0.500, 0.500, 0.373)
La (0.500, 0.500, 0.627)
Sc (0.000, 0.000, 0.375)
Sc (0.000, 0.000, 0.625)
Sc (0.500, 0.500, 0.125)
Sc (0.500, 0.500, 0.875)

***

This record from Alexandria via LeMat-Bulk describes a PBEsol-optimized structure of TiMnP2O8. The functional is SCAN.

Results
* space-group type: R3, No. 146
* E_form (uncorrected): -2.665 eV/atom
* E_tot: -11.410 eV/atom
* energy relative to the lowest polymorph listed for this composition: 0.0 meV/atom

Cell: 8.533 8.533 8.533 Å, 60.60 60.60 60.60°
Sites, in units of the cell vectors:
Ti (0.000, 0.000, 0.000)
Ti (0.211, 0.211, 0.211)
Ti (0.708, 0.708, 0.708)
Mn (0.357, 0.357, 0.357)
Mn (0.498, 0.498, 0.498)
Mn (0.855, 0.855, 0.855)
P (0.100, 0.814, 0.399)
P (0.307, 0.602, 0.899)
P (0.399, 0.100, 0.814)
P (0.602, 0.899, 0.307)
P (0.814, 0.399, 0.100)
P (0.899, 0.307, 0.602)
O (0.017, 0.876, 0.244)
O (0.095, 0.300, 0.439)
O (0.111, 0.764, 0.930)
O (0.164, 0.976, 0.357)
O (0.244, 0.017, 0.876)
O (0.259, 0.623, 0.398)
O (0.300, 0.439, 0.095)
O (0.333, 0.544, 0.746)
O (0.357, 0.164, 0.976)
O (0.398, 0.259, 0.623)
O (0.439, 0.095, 0.300)
O (0.474, 0.665, 0.848)
O (0.544, 0.746, 0.333)
O (0.596, 0.939, 0.796)
O (0.623, 0.398, 0.259)
O (0.665, 0.848, 0.474)
O (0.746, 0.333, 0.544)
O (0.764, 0.930, 0.111)
O (0.796, 0.596, 0.939)
O (0.848, 0.474, 0.665)
O (0.876, 0.244, 0.017)
O (0.930, 0.111, 0.764)
O (0.939, 0.796, 0.596)
O (0.976, 0.357, 0.164)

***

This record from Alexandria via LeMat-Bulk describes a PBEsol-optimized structure of FeAgHCl2. The functional is SCAN.

Results
* space-group type: P4/mmm, No. 123
* E_tot: -13.994 eV/atom

Cell: 4.768 4.768 3.306 Å, 90.00 90.00 90.00°
Sites, in units of the cell vectors:
Fe (0.000, 0.000, 0.000)
Ag (0.500, 0.500, 0.500)
H (0.000, 0.000, 0.500)
Cl (0.000, 0.500, 0.000)
Cl (0.500, 0.000, 0.000)

***

This record from Alexandria via LeMat-Bulk describes a PBEsol-optimized structure of CdHg2Bi. The functional is SCAN.

Results
* space-group type: I-42d, No. 122
* DFT formation energy: 0.06 eV per atom
* E_tot: -61.272 eV/atom

Cell: 4.331 4.331 21.899 Å, 90.00 90.00 90.00°
Sites, in units of the cell vectors:
Cd (0.000, 0.000, 0.000)
Cd (0.000, 0.500, 0.250)
Cd (0.500, 0.000, 0.750)
Cd (0.500, 0.500, 0.500)
Hg (0.240, 0.250, 0.125)
Hg (0.250, 0.740, 0.375)
Hg (0.250, 0.760, 0.875)
Hg (0.260, 0.250, 0.625)
Hg (0.740, 0.750, 0.625)
Hg (0.750, 0.240, 0.875)
Hg (0.750, 0.260, 0.375)
Hg (0.760, 0.750, 0.125)
Bi (0.000, 0.000, 0.500)
Bi (0.000, 0.500, 0.750)
Bi (0.500, 0.000, 0.250)
Bi (0.500, 0.500, 0.000)